# 1
# MnAgRh2

An optimized crystal structure of MnAgRh2 (PBEsol, Alexandria).

Cell: 2.747 4.702 4.680 Å, 103.17 90.00 106.99°
Last column: magnetic moment on the atom in μB.
Sites, in units of the cell vectors:
Ag: 0.000 0.000 0.500  0.04
Mn: 0.500 0.000 0.000  3.26
Rh: 0.236 0.471 0.235  0.04
Rh: 0.764 0.529 0.765  0.04

SG ... C2/m
M_tot ... 0.87 μB/atom
DFT total energy ... -28.73 eV per cell
Fermi-level density of states ... 1.03 states/eV per atom

=====

# 2
# ScCoSi2

An optimized crystal structure of ScCoSi2 (PBEsol, Alexandria).

Cell: 3.037 3.037 6.039 Å, 90.00 90.00 90.00°
Sites, in units of the cell vectors:
Sc: 0.500 0.500 0.750
Co: 0.000 0.000 0.429
Si: 0.000 0.000 0.041
Si: 0.500 0.500 0.280

Energy relative to the elements, uncorrected ... -461.5 meV/atom
SG ... P4mm
M_tot ... 0.00 μB/atom
Fermi-level density of states ... 0.87 states/eV per atom

=====

# 3
# SrBe2Pb

An optimized crystal structure of SrBe2Pb (PBEsol, Alexandria).

Cell: 4.198 4.198 6.153 Å, 70.05 70.05 60.00°
Sites, in units of the cell vectors:
Be: 0.792 0.792 0.623
Be: 0.208 0.208 0.377
Pb: 0.500 0.500 0.500
Sr: 0.000 0.000 0.000

SG ... R-3m
M_tot ... 0.00 μB/atom
DFT total energy ... -12.65 eV per cell
Fermi-level density of states ... 0.60 states/eV per atom

=====

# 4
# GeTe2O2

An optimized crystal structure of GeTe2O2 (PBEsol, Alexandria).

Cell: 3.963 3.963 6.498 Å, 107.75 107.75 90.00°
Sites, in units of the cell vectors:
Te: 0.750 0.250 0.500
Te: 0.250 0.750 0.500
O: 0.607 0.607 0.214
O: 0.393 0.393 0.786
Ge: 0.000 0.000 0.000

Energy relative to the elements, uncorrected ... 636.5 meV/atom
SG ... I4/mmm
M_tot ... 0.00 μB/atom
Fermi-level density of states ... 0.43 states/eV per atom

=====

# 5
# Ag3As2O8

An optimized crystal structure of Ag3As2O8 (PBEsol, Alexandria).

Cell: 5.858 5.858 5.858 Å, 85.20 85.20 85.20°
Sites, in units of the cell vectors:
O: 0.321 0.321 0.321
O: 0.861 0.861 0.861
O: 0.843 0.240 0.132
O: 0.643 0.658 0.292
O: 0.658 0.292 0.643
O: 0.292 0.643 0.658
O: 0.240 0.132 0.843
O: 0.132 0.843 0.240
As: 0.012 0.012 0.012
As: 0.489 0.489 0.489
Ag: 0.992 0.519 0.249
Ag: 0.249 0.992 0.519
Ag: 0.519 0.249 0.992

Energy relative to the elements, uncorrected ... -571.1 meV/atom
SG ... R3
M_tot ... 0.00 μB/atom
Fermi-level density of states ... 0.49 states/eV per atom

=====

# 6
# LaSb2ICl

An optimized crystal structure of LaSb2ICl (PBEsol, Alexandria).

Cell: 5.994 6.132 6.132 Å, 90.00 90.00 90.00°
Last column: magnetic moment on the atom in μB.
Sites, in units of the cell vectors:
I: 0.500 0.000 0.000  0.05
Sb: 0.000 0.000 0.500  0.25
Sb: 0.000 0.500 0.000  0.25
Cl: 0.500 0.500 0.500  0.04
La: 0.000 0.000 0.000  0.07

Energy relative to the elements, uncorrected ... 190.7 meV/atom
SG ... P4/mmm
M_tot ... 0.30 μB/atom
Fermi-level density of states ... 1.21 states/eV per atom

=====

# 7
# TaAgRu2

An optimized crystal structure of TaAgRu2 (PBEsol, Alexandria).

Cell: 3.836 3.834 4.873 Å, 113.16 113.18 90.00°
Sites, in units of the cell vectors:
Ta: 0.500 0.500 0.000
Ru: 0.250 0.750 0.500
Ru: 0.000 0.000 0.000
Ag: 0.750 0.250 0.500

SG ... I-4m2
M_tot ... 0.00 μB/atom
DFT total energy ... -35.56 eV per cell
Fermi-level density of states ... 1.15 states/eV per atom

=====

# 8
# CaSiAs2

An optimized crystal structure of CaSiAs2 (PBEsol, Alexandria).

Cell: 6.278 6.278 6.278 Å, 101.01 113.86 113.86°
Sites, in units of the cell vectors:
As: 0.069 0.875 0.444
As: 0.931 0.375 0.806
As: 0.431 0.556 0.625
As: 0.569 0.194 0.125
Ca: 0.500 0.750 0.250
Ca: 0.000 0.000 0.000
Si: 0.500 0.250 0.750
Si: 0.000 0.500 0.500

Energy relative to the elements, uncorrected ... -563.9 meV/atom
SG ... I-42d
M_tot ... 0.00 μB/atom

=====

# 9
# RbGaCoSn2

An optimized crystal structure of RbGaCoSn2 (PBEsol, Alexandria).

Cell: 4.830 4.830 5.839 Å, 90.00 90.00 90.00°
Sites, in units of the cell vectors:
Sn: 0.500 0.000 0.000
Sn: 0.000 0.500 0.000
Co: 0.000 0.000 0.000
Ga: 0.500 0.500 0.500
Rb: 0.000 0.000 0.500

SG ... P4/mmm
M_tot ... 0.00 μB/atom
DFT total energy ... -19.01 eV per cell
Fermi-level density of states ... 0.85 states/eV per atom

=====

# 10
# TlIn2P

An optimized crystal structure of TlIn2P (PBEsol, Alexandria).

Cell: 3.876 3.876 7.864 Å, 75.73 75.73 60.00°
Sites, in units of the cell vectors:
In: 0.766 0.766 0.701
In: 0.234 0.234 0.299
P: 0.500 0.500 0.500
Tl: 0.000 0.000 0.000

SG ... R-3m
M_tot ... 0.00 μB/atom
DFT total energy ... -14.48 eV per cell
Fermi-level density of states ... 0.32 states/eV per atom

=====

# 11
# BaY2Te

An optimized crystal structure of BaY2Te (PBEsol, Alexandria).

Cell: 3.879 5.537 6.717 Å, 109.85 106.78 90.00°
Sites, in units of the cell vectors:
Y: 0.738 0.209 0.476
Y: 0.959 0.001 0.918
Ba: 0.531 0.572 0.062
Te: 0.272 0.718 0.545

Energy relative to the elements, uncorrected ... -423.5 meV/atom
SG ... Cm
M_tot ... 0.00 μB/atom
Fermi-level density of states ... 1.02 states/eV per atom

=====

# 12
# Ba2NaOs

An optimized crystal structure of Ba2NaOs (PBEsol, Alexandria).

Cell: 5.424 5.424 5.424 Å, 60.00 60.00 60.00°
Sites, in units of the cell vectors:
Na: 0.000 0.000 0.000
Ba: 0.250 0.250 0.250
Ba: 0.750 0.750 0.750
Os: 0.500 0.500 0.500

SG ... Fm-3m
M_tot ... 0.00 μB/atom
DFT total energy ... -15.36 eV per cell
Fermi-level density of states ... 0.72 states/eV per atom